Record 1
The following is a DFT calculation (PBE) of LaTmHg after structural relaxation.

Energy of formation from the pure elements ... -0.3087 eV/atom
VASP energy ... -3.542 eV per atom
Density of states at the Fermi level ... 3.332 states/eV/cell
Polymorph energy (0 for the lowest one) ... 0.028 eV per atom

Lattice parameters (Å, degrees): 3.7057 3.7057 6.9829 105.39 105.39 90.00
Last column: nearest neighbours and their distance in Å.
Fractional coordinates of all 3 atoms:
Tm1 0.3115 0.3115 0.6229  4 Hg 3.11
Hg1 0.6819 0.6819 0.3637  4 Tm 3.11, 4 La 3.47
La1 0.0067 0.0067 0.0133  4 Hg 3.47, 4 Tm 3.64, 4 La 3.71



Record 2
The following is a DFT calculation (PBE) of La3TmHg2 after structural relaxation.

Energy of formation from the pure elements ... -0.3321 eV/atom
VASP energy ... -3.642 eV per atom
Density of states at the Fermi level ... 8.462 states/eV/cell

Lattice parameters (Å, degrees): 5.4063 7.0127 9.7561 90.00 90.00 90.00
Last column: nearest neighbours and their distance in Å.
Fractional coordinates of all 12 atoms:
La1 0.0000 0.4920 0.9467  3 Hg 3.29-3.32, 5 La 3.49-3.66
La2 0.0000 0.9920 0.0533  3 Hg 3.29-3.32, 5 La 3.49-3.66
La3 0.5000 0.6881 0.1771  4 Hg 3.25-3.27, 1 Tm 3.52
La4 0.5000 0.1881 0.8229  4 Hg 3.25-3.27, 1 Tm 3.52
La5 0.0000 0.3066 0.3308  4 Hg 3.10-3.30
La6 0.0000 0.8066 0.6692  4 Hg 3.10-3.30
Tm1 0.5000 0.5116 0.5471  3 Hg 3.25-3.32, 3 La 3.52-3.61, 2 Tm 3.62
Tm2 0.5000 0.0116 0.4529  3 Hg 3.25-3.32, 3 La 3.52-3.61, 2 Tm 3.62
Hg1 0.5000 0.7258 0.8429  6 La 3.24-3.32, 1 Tm 3.25
Hg2 0.5000 0.2258 0.1571  6 La 3.24-3.32, 1 Tm 3.25
Hg3 0.0000 0.2759 0.6480  5 La 3.10-3.30, 2 Tm 3.32
Hg4 0.0000 0.7759 0.3520  5 La 3.10-3.30, 2 Tm 3.32



Record 3
The following is a DFT calculation (PBE) of La5TmHg6 after structural relaxation.

Energy of formation from the pure elements ... -0.4908 eV/atom
VASP energy ... -3.067 eV per atom
Density of states at the Fermi level ... 12.959 states/eV/cell

Lattice parameters (Å, degrees): 5.4375 7.8133 9.4581 65.61 73.23 90.00
Last column: nearest neighbours and their distance in Å.
Fractional coordinates of all 12 atoms:
Tm1 0.0000 0.0000 0.0000  8 Hg 3.18-3.22
Hg1 0.8405 0.6067 0.3182  1 Tm 3.18, 7 La 3.29-3.45
Hg2 0.8405 0.0752 0.3182  1 Tm 3.18, 7 La 3.29-3.45
Hg3 0.5000 0.7786 0.0000  2 Tm 3.22, 6 La 3.34-3.48, 1 Hg 3.46
Hg4 0.5000 0.2214 0.0000  2 Tm 3.22, 6 La 3.34-3.48, 1 Hg 3.46
Hg5 0.1595 0.9248 0.6818  1 Tm 3.18, 7 La 3.29-3.45
Hg6 0.1595 0.3933 0.6818  1 Tm 3.18, 7 La 3.29-3.45
La1 0.6758 0.1751 0.6496  8 Hg 3.29-3.41
La2 0.3383 0.3382 0.3237  8 Hg 3.42-3.45, 4 La 3.79-3.81
La3 0.0000 0.5000 0.0000  8 Hg 3.33-3.48
La4 0.6617 0.6618 0.6763  8 Hg 3.42-3.45, 4 La 3.79-3.81
La5 0.3242 0.8249 0.3504  8 Hg 3.29-3.41



Record 4
The following is a DFT calculation (PBE) of La6Tm2Hg after structural relaxation.

Energy of formation from the pure elements ... -0.0976 eV/atom
VASP energy ... -4.410 eV per atom
Density of states at the Fermi level ... 13.581 states/eV/cell

Lattice parameters (Å, degrees): 9.8028 9.8028 3.6876 90.00 90.00 120.01
Last column: nearest neighbours and their distance in Å.
Fractional coordinates of all 9 atoms:
La1 0.6258 0.6258 0.5000  4 Tm 3.59, 1 Hg 3.67, 8 La 3.69-3.86
La2 0.0000 0.3744 0.5000  4 Tm 3.60, 1 Hg 3.67, 8 La 3.69-3.85
La3 0.3744 0.0000 0.5000  4 Tm 3.60, 1 Hg 3.67, 8 La 3.69-3.85
La4 0.2802 0.2802 0.0000  2 Hg 3.31, 2 Tm 3.56, 2 La 3.69
La5 0.0002 0.7195 0.0000  2 Hg 3.31, 2 Tm 3.55-3.56, 2 La 3.69
La6 0.7195 0.0002 0.0000  2 Hg 3.31, 2 Tm 3.55-3.56, 2 La 3.69
Tm1 0.6666 0.3335 0.0000  9 La 3.55-3.60, 2 Tm 3.69
Tm2 0.3335 0.6666 0.0000  9 La 3.55-3.60, 2 Tm 3.69
Hg1 0.9998 0.9998 0.5000  9 La 3.31-3.67, 2 Hg 3.69



Record 5
The following is a DFT calculation (PBE) of La2TmHg4 after structural relaxation.

Energy of formation from the pure elements ... -0.3705 eV/atom
VASP energy ... -2.590 eV per atom
Density of states at the Fermi level ... 6.207 states/eV/cell
Polymorph energy (0 for the lowest one) ... 0.000 eV per atom

Lattice parameters (Å, degrees): 5.0506 5.0506 10.1456 75.59 75.59 60.00
Last column: nearest neighbours and their distance in Å.
Fractional coordinates of all 7 atoms:
Tm1 0.0000 0.0000 0.0000  6 Hg 3.06
Hg1 0.8651 0.8651 0.4048  4 La 3.23, 3 Hg 3.45
Hg2 0.1349 0.1349 0.5952  4 La 3.23, 3 Hg 3.45
Hg3 0.6344 0.6344 0.0969  3 Tm 3.06, 3 La 3.33
Hg4 0.3656 0.3656 0.9031  3 Tm 3.06, 3 La 3.33
La1 0.7543 0.7543 0.7370  8 Hg 3.23-3.50
La2 0.2457 0.2457 0.2630  8 Hg 3.23-3.50



Record 6
The following is a DFT calculation (PBE) of LaTm2Hg after structural relaxation.

Energy of formation from the pure elements ... -0.2232 eV/atom
VASP energy ... -3.766 eV per atom
Density of states at the Fermi level ... 5.624 states/eV/cell
Polymorph energy (0 for the lowest one) ... 0.000 eV per atom

Lattice parameters (Å, degrees): 3.6345 3.6345 8.8589 90.00 90.00 90.00
Last column: nearest neighbours and their distance in Å.
Fractional coordinates of all 4 atoms:
Tm1 0.0000 0.0000 0.7883  4 Hg 3.18
Tm2 0.0000 0.0000 0.2117  4 Hg 3.18
Hg1 0.5000 0.5000 0.0000  8 Tm 3.18
La1 0.5000 0.5000 0.5000  8 Tm 3.62, 4 La 3.63